CoIrS2: optimized geometry, GGA-PBE.

Computed properties:
ΔE_f (raw) in meV/atom: -131
Polymorph energy (0 for the lowest one) in meV per atom: 0
Final energy in eV for the cell shown: -49.49
Fermi-level density of states in states/eV/cell: 5.89

```
CoIrS2
1.0
5.152 0.000 0.000
0.000 5.152 0.000
2.576 2.576 5.042
S Ir Co
4 2 2
Cartesian
3.864 3.975 3.781 S
6.440 6.330 3.781 S
3.754 1.288 1.260 S
1.399 3.864 1.260 S
5.152 2.576 2.521 Ir
0.000 0.000 0.000 Ir
2.576 2.576 0.000 Co
2.576 5.152 2.521 Co
```